# 1
Compound: Na2CNCl
Source: Alexandria via LeMat-Bulk
Functional: PBE
Structure: optimized geometry

```
Na2CNCl
1.0
4.979 0.000 0.000
0.000 4.979 0.000
0.000 0.000 3.875
Na C N Cl
2 1 1 1
Direct
0.000 0.500 0.000
0.500 0.000 0.000
0.000 0.000 0.000
0.500 0.500 0.500
0.000 0.000 0.500
```

Computed properties:
Calculated density (g/cm3): 1.9
Total magnetization (μB per atom): 0.3996
Energy relative to the elements, uncorrected (eV per atom): 1.40



# 2
Compound: Na3C2N4Cl2
Source: Alexandria via LeMat-Bulk
Functional: PBE
Structure: optimized geometry

```
Na3C2N4Cl2
1.0
-1.587 1.587 14.848
1.587 -1.587 14.848
1.587 1.587 -14.848
Na C N Cl
3 2 4 2
Direct
0.000 0.000 0.000
0.144 0.144 0.000
0.856 0.856 0.000
0.431 0.431 0.000
0.569 0.569 0.000
0.066 0.566 0.500
0.434 0.934 0.500
0.566 0.066 0.500
0.934 0.434 0.500
0.310 0.310 0.000
0.690 0.690 0.000
```

Computed properties:
Calculated density (g/cm3): 2.4
Total magnetization (μB per atom): 0.0113
Energy relative to the elements, uncorrected (eV per atom): 0.93



# 3
Compound: NbC2NCl8
Source: Alexandria via LeMat-Bulk
Functional: PBE
Structure: optimized geometry

```
NbC2NCl8
1.0
4.469 -4.899 0.000
4.469 4.899 0.000
0.000 0.000 17.116
Nb C N Cl
2 4 2 16
Direct
0.099 0.901 0.500
0.901 0.099 0.000
0.332 0.668 0.345
0.419 0.581 0.275
0.581 0.419 0.775
0.668 0.332 0.845
0.261 0.739 0.399
0.739 0.261 0.899
0.051 0.949 0.892
0.062 0.938 0.097
0.138 0.382 0.987
0.215 0.457 0.220
0.294 0.706 0.580
0.382 0.138 0.487
0.408 0.592 0.805
0.457 0.215 0.720
0.543 0.785 0.220
0.592 0.408 0.305
0.618 0.862 0.987
0.706 0.294 0.080
0.785 0.543 0.720
0.862 0.618 0.487
0.938 0.062 0.597
0.949 0.051 0.392
```

Computed properties:
Calculated density (g/cm3): 1.8
Total magnetization (μB per atom): 0.0000
Energy relative to the elements, uncorrected (eV per atom): -0.56



# 4
Compound: Nd8C3NCl3
Source: Alexandria via LeMat-Bulk
Functional: PBE
Structure: optimized geometry

```
Nd8C3NCl3
1.0
3.778 2.181 6.944
-3.778 2.181 6.944
0.000 -4.362 6.944
Nd C N Cl
8 3 1 3
Direct
0.231 0.733 0.733
0.233 0.233 0.233
0.267 0.267 0.769
0.267 0.769 0.267
0.733 0.231 0.733
0.733 0.733 0.231
0.767 0.767 0.767
0.769 0.267 0.267
0.000 0.000 0.500
0.000 0.500 0.000
0.500 0.000 0.000
0.500 0.500 0.500
0.000 0.500 0.500
0.500 0.000 0.500
0.500 0.500 0.000
```

Computed properties:
Calculated density (g/cm3): 6.3
Total magnetization (μB per atom): 0.0095
Energy relative to the elements, uncorrected (eV per atom): -0.97



# 5
Compound: Nd6CN2Cl3
Source: Alexandria via LeMat-Bulk
Functional: PBE
Structure: optimized geometry

```
Nd6CN2Cl3
1.0
8.902 -1.860 0.000
8.902 1.860 0.000
-3.052 0.000 7.694
Nd C N Cl
6 1 2 3
Direct
0.015 0.015 0.220
0.319 0.319 0.451
0.346 0.346 0.881
0.654 0.654 0.119
0.681 0.681 0.549
0.985 0.985 0.780
0.500 0.500 0.000
0.168 0.168 0.335
0.832 0.832 0.665
0.165 0.165 0.833
0.500 0.500 0.500
0.835 0.835 0.167
```

Computed properties:
Calculated density (g/cm3): 6.6
Total magnetization (μB per atom): 0.0000
Energy relative to the elements, uncorrected (eV per atom): -1.38



# 6
Compound: Nd8C3NCl4
Source: Alexandria via LeMat-Bulk
Functional: PBE
Structure: optimized geometry

```
Nd8C3NCl4
1.0
3.751 2.166 7.151
-3.751 2.166 7.151
0.000 -4.332 7.151
Nd C N Cl
8 3 1 4
Direct
0.231 0.231 0.231
0.232 0.729 0.729
0.271 0.271 0.768
0.271 0.768 0.271
0.729 0.232 0.729
0.729 0.729 0.232
0.768 0.271 0.271
0.769 0.769 0.769
0.000 0.000 0.500
0.000 0.500 0.000
0.500 0.000 0.000
0.500 0.500 0.500
0.000 0.000 0.000
0.000 0.500 0.500
0.500 0.000 0.500
0.500 0.500 0.000
```

Computed properties:
Calculated density (g/cm3): 6.4
Total magnetization (μB per atom): 0.0000
Energy relative to the elements, uncorrected (eV per atom): -1.16



# 7
Compound: Nd6C2NCl3
Source: Alexandria via LeMat-Bulk
Functional: PBE
Structure: optimized geometry

```
Nd6C2NCl3
1.0
3.245 -5.620 0.000
3.245 5.620 0.000
-2.164 0.000 7.132
Nd C N Cl
6 2 1 3
Direct
0.063 0.394 0.190
0.267 0.267 0.809
0.394 0.063 0.190
0.606 0.937 0.810
0.733 0.733 0.191
0.937 0.606 0.810
0.334 0.666 0.000
0.666 0.334 0.000
0.000 0.000 0.000
0.169 0.831 0.500
0.500 0.500 0.500
0.831 0.169 0.500
```

Computed properties:
Calculated density (g/cm3): 6.4
Total magnetization (μB per atom): 0.0000
Energy relative to the elements, uncorrected (eV per atom): -1.21



# 8
Compound: Nd4CNCl2
Source: Alexandria via LeMat-Bulk
Functional: PBE
Structure: optimized geometry

```
Nd4CNCl2
1.0
6.463 0.000 0.000
0.000 3.734 0.000
-2.159 0.000 7.115
Nd C N Cl
4 1 1 2
Direct
0.227 0.000 0.188
0.267 0.500 0.810
0.733 0.500 0.190
0.773 0.000 0.812
0.500 0.000 0.000
0.000 0.500 0.000
0.000 0.000 0.500
0.500 0.500 0.500
```

Computed properties:
Calculated density (g/cm3): 6.5
Total magnetization (μB per atom): 0.0000
Energy relative to the elements, uncorrected (eV per atom): -1.30